Entry a
Below is a PBEsol-optimized structure of LaYRu, with properties calculated at the meta-GGA SCAN level.

- Density: 7059 kg/m³

Cell: 3.402 3.402 7.105 Å, 103.85 103.85 90.00°
Element x y z (fractional)
La (0.039, 0.039, 0.078)
Y (0.290, 0.290, 0.580)
Ru (0.671, 0.671, 0.341)

Entry b
Below is a PBEsol-optimized structure of LaYRu, with properties calculated at the meta-GGA SCAN level.

- Density: 6955 kg/m³

Cell: 4.806 4.806 4.806 Å, 60.00 60.00 60.00°
Element x y z (fractional)
Ru (0.250, 0.250, 0.250)
Y (0.000, 0.000, 0.000)
La (0.500, 0.500, 0.500)

Most stable to least stable: entry a, entry b

Entry a
Below is a PBEsol-optimized structure of LaZr2Ru, with properties calculated at the meta-GGA SCAN level.

- Density: 8624 kg/m³

Cell: 3.193 5.563 5.510 Å, 116.10 100.18 102.93°
Element x y z (fractional)
Zr (0.500, 0.500, 0.500)
Ru (0.500, 0.000, 0.000)
Zr (0.000, 0.000, 0.500)
La (0.000, 0.500, 0.000)

Entry b
Below is a PBEsol-optimized structure of LaZr2Ru, with properties calculated at the meta-GGA SCAN level.

- Density: 7869 kg/m³

Cell: 3.258 4.364 6.326 Å, 90.00 97.52 90.00°
Element x y z (fractional)
Zr (0.470, 0.500, 0.193)
Zr (0.947, 0.000, 0.970)
Ru (0.532, 0.500, 0.805)
La (0.051, 0.000, 0.532)

Entry c
Below is a PBEsol-optimized structure of LaZr2Ru, with properties calculated at the meta-GGA SCAN level.

- Density: 8183 kg/m³

Cell: 3.274 3.274 7.998 Å, 90.00 90.00 90.00°
Element x y z (fractional)
Zr (0.000, 0.000, 0.695)
La (0.500, 0.500, 0.000)
Ru (0.500, 0.500, 0.500)
Zr (0.000, 0.000, 0.305)

Most stable to least stable: entry c, entry b, entry a

Entry a
Below is a PBEsol-optimized structure of LaTmS3, with properties calculated at the meta-GGA SCAN level.

- Density: 5955 kg/m³

Cell: 3.947 16.231 21.103 Å, 90.00 90.00 90.00°
Element x y z (fractional)
S (0.250, 0.543, 0.947)
La (0.250, 0.330, 0.088)
S (0.250, 0.441, 0.441)
S (0.750, 0.341, 0.562)
Tm (0.250, 0.596, 0.750)
S (0.750, 0.559, 0.559)
S (0.250, 0.465, 0.183)
S (0.750, 0.535, 0.817)
S (0.750, 0.550, 0.307)
S (0.250, 0.159, 0.062)
La (0.750, 0.343, 0.746)
Tm (0.250, 0.067, 0.421)
Tm (0.250, 0.567, 0.079)
La (0.250, 0.693, 0.579)
La (0.750, 0.307, 0.421)
Tm (0.750, 0.557, 0.431)
La (0.750, 0.170, 0.588)
S (0.250, 0.232, 0.679)
S (0.250, 0.659, 0.438)
S (0.250, 0.354, 0.852)
S (0.750, 0.146, 0.352)
S (0.750, 0.957, 0.447)
S (0.750, 0.291, 0.984)
Tm (0.750, 0.057, 0.069)
Tm (0.250, 0.943, 0.931)
S (0.750, 0.791, 0.516)
La (0.750, 0.807, 0.079)
S (0.750, 0.677, 0.685)
S (0.250, 0.950, 0.807)
S (0.750, 0.768, 0.321)
S (0.750, 0.646, 0.148)
S (0.750, 0.059, 0.941)
S (0.750, 0.268, 0.179)
Tm (0.750, 0.904, 0.250)
S (0.750, 0.457, 0.053)
S (0.250, 0.854, 0.648)
S (0.250, 0.965, 0.317)
La (0.250, 0.657, 0.254)
La (0.750, 0.843, 0.754)
La (0.750, 0.670, 0.912)
S (0.750, 0.841, 0.938)
S (0.250, 0.941, 0.059)
S (0.250, 0.209, 0.484)
S (0.250, 0.323, 0.315)
S (0.250, 0.823, 0.185)
Tm (0.250, 0.096, 0.750)
S (0.750, 0.177, 0.815)
Tm (0.750, 0.433, 0.921)
La (0.250, 0.193, 0.921)
S (0.750, 0.050, 0.193)
S (0.250, 0.709, 0.016)
La (0.250, 0.157, 0.246)
Tm (0.750, 0.933, 0.579)
Tm (0.250, 0.443, 0.569)
S (0.250, 0.043, 0.553)
S (0.250, 0.732, 0.821)
Tm (0.750, 0.404, 0.250)
S (0.250, 0.450, 0.693)
S (0.750, 0.035, 0.683)
La (0.250, 0.830, 0.412)

Entry b
Below is a PBEsol-optimized structure of LaTmS3, with properties calculated at the meta-GGA SCAN level.

- Density: 5979 kg/m³

Cell: 3.951 10.883 21.308 Å, 101.58 90.00 90.00°
Element x y z (fractional)
S (0.250, 0.253, 0.828)
Tm (0.750, 0.181, 0.047)
S (0.250, 0.965, 0.270)
Tm (0.750, 0.522, 0.087)
S (0.750, 0.456, 0.635)
La (0.750, 0.092, 0.866)
Tm (0.250, 0.972, 0.649)
S (0.750, 0.644, 0.515)
S (0.250, 0.507, 0.781)
S (0.750, 0.942, 0.557)
S (0.250, 0.058, 0.443)
S (0.250, 0.356, 0.485)
S (0.250, 0.637, 0.035)
La (0.250, 0.799, 0.464)
La (0.250, 0.301, 0.235)
S (0.750, 0.656, 0.901)
La (0.250, 0.908, 0.134)
S (0.250, 0.747, 0.675)
S (0.250, 0.207, 0.635)
Tm (0.750, 0.447, 0.417)
La (0.750, 0.201, 0.536)
S (0.750, 0.035, 0.730)
S (0.250, 0.344, 0.099)
Tm (0.250, 0.819, 0.953)
S (0.250, 0.086, 0.966)
S (0.750, 0.124, 0.163)
S (0.250, 0.544, 0.365)
Tm (0.250, 0.553, 0.583)
La (0.250, 0.691, 0.266)
S (0.750, 0.493, 0.219)
S (0.250, 0.876, 0.837)
S (0.750, 0.253, 0.325)
La (0.750, 0.699, 0.765)
S (0.750, 0.793, 0.365)
Tm (0.250, 0.478, 0.913)
La (0.750, 0.309, 0.734)
S (0.750, 0.914, 0.034)
S (0.750, 0.363, 0.965)
Tm (0.750, 0.028, 0.351)
S (0.750, 0.747, 0.172)

Most stable to least stable: entry a, entry b